[1]
The following is a PBE calculation of crystalline PmCuCl4 at its relaxed geometry, from the Alexandria database.

POSCAR file:
```
PmCuCl4
1.0
0.000 6.136 6.222
4.132 0.000 6.222
4.132 6.136 0.000
Pm Cu Cl
2 2 8
Cartesian
1.033 1.534 1.556
7.231 10.738 10.889
3.099 4.602 4.667
5.165 7.670 7.778
4.731 5.686 3.463
4.731 3.517 5.871
6.797 6.585 6.574
1.467 3.517 3.463
6.797 8.754 8.982
1.467 5.686 5.871
3.533 8.754 6.574
3.533 6.585 8.982
```

M_tot: 0.084 Bohr magnetons per cell
DOS(E_F): 0.0 states/eV per cell
uncorrected formation energy: -1.62 eV per atom

***

[2]
The following is a PBE calculation of crystalline PmCuCl at its relaxed geometry, from the Alexandria database.

POSCAR file:
```
PmCuCl
1.0
3.623 -2.023 0.000
3.623 2.023 0.000
-0.991 0.000 10.835
Pm Cu Cl
2 2 2
Cartesian
-0.257 0.000 3.477
6.512 0.000 7.358
1.945 0.000 5.453
4.310 0.000 5.382
2.120 0.000 1.774
4.135 0.000 9.061
```

M_tot: 0.000 Bohr magnetons per cell
DOS(E_F): 1.9 states/eV per cell
uncorrected formation energy: -1.11 eV per atom

***

[3]
The following is a PBE calculation of crystalline Pm4Cu2Cl at its relaxed geometry, from the Alexandria database.

POSCAR file:
```
Pm4Cu2Cl
1.0
-2.663 2.663 6.889
2.663 -2.663 6.889
2.663 2.663 -6.889
Pm Cu Cl
4 2 1
Cartesian
2.663 0.000 0.000
0.000 0.000 2.838
0.000 2.663 0.000
0.000 0.000 10.940
0.000 0.000 5.582
0.000 0.000 8.196
0.000 0.000 0.000
```

M_tot: 0.000 Bohr magnetons per cell
DOS(E_F): 5.3 states/eV per cell
uncorrected formation energy: -0.32 eV per atom

***

> Which of these has the highest M_tot?

PmCuCl4

***

> Which formula does entry 1 have?

PmCuCl4